# 1
DFT (GGA-PBE) results for a relaxed structure of HfTiAl2H.

For the final energy, the calculation gives -5.98 eV/atom.

It has space group P4/mmm (No. 123), with a = 4.1671 Å, b = 4.1671 Å, c = 4.1416 Å, α = 90.00°, β = 90.00° and γ = 90.00°. The distinct sites, in fractional coordinates, are Hf at (0.0000, 0.0000, 0.0000), Ti at (0.5000, 0.5000, 0.0000), Al at (0.0000, 0.5000, 0.5000) and H at (0.0000, 0.0000, 0.5000).

# 2
DFT (GGA-PBE) results for a relaxed structure of KRb2Hg7Au2.

Its energy relative to the elements is -0.211 eV/atom. For the final energy, the calculation gives -1.19 eV/atom.

It has space group C2/m (No. 12), with a = 6.8864 Å, b = 6.8386 Å, c = 16.7611 Å, α = 90.00°, β = 98.32° and γ = 90.00°. The distinct sites, in fractional coordinates, are K at (0.0000, 0.0000, 0.0000), Rb at (0.1226, 0.0000, 0.3386), Hg at (0.0000, 0.5000, 0.0000), Hg at (0.1751, 0.5000, 0.4470), Hg at (0.1918, 0.2505, 0.8393) and Au at (0.0980, 0.5000, 0.2713).

# 3
DFT (GGA-PBE) results for a relaxed structure of Ce2TeBr2N.

For the final energy, the calculation gives -6.00 eV/atom. The energy relative to the elements, uncorrected comes out at -1.56 eV/atom.

It has space group Pmc2_1 (No. 26), with a = 4.0202 Å, b = 11.0874 Å, c = 8.9438 Å, α = 90.00°, β = 90.00° and γ = 90.00°. The distinct sites, in fractional coordinates, are Ce at (0.0000, 0.0510, 0.0000), Ce at (0.5000, 0.2247, 0.4055), Te at (0.5000, 0.0861, 0.7215), Br at (0.0000, 0.4179, 0.4556), Br at (0.5000, 0.2567, 0.0752) and N at (0.0000, 0.1269, 0.4098).

# 4
DFT (GGA-PBE) results for a relaxed structure of Tm3AlAg.

Its energy relative to the elements is -0.133 eV/atom. For the final energy, the calculation gives -4.13 eV/atom.

It has space group Pmmn (No. 59, origin choice 2), with a = 4.6343 Å, b = 6.7212 Å, c = 8.5465 Å, α = 90.00°, β = 90.00° and γ = 90.00°. The distinct sites, in fractional coordinates, are Tm at (0.2500, 0.0048, 0.1999), Tm at (0.2500, 0.2500, 0.5589), Al at (0.2500, 0.7500, 0.6524) and Ag at (0.2500, 0.2500, 0.9100).